This record from the Alexandria database describes a relaxed CsSmSiTe4 crystal. The functional is PBE.

a b c (Å): 7.2256 7.6518 10.5007
angles (deg): 90.00 109.16 90.00
With the nearest neighbours (Å) after each atom.
Atoms (fractional coordinates):
Cs1 0.2402 0.2500 0.0575  8 Te 3.81-4.08
Cs2 0.7598 0.7500 0.9425  8 Te 3.81-4.08
Sm1 0.2302 0.2500 0.5495  6 Te 3.16-3.26
Sm2 0.7698 0.7500 0.4505  6 Te 3.16-3.26
Si1 0.2112 0.7500 0.3335  4 Te 2.51-2.54
Si2 0.7888 0.2500 0.6665  4 Te 2.51-2.54
Te1 0.0217 0.5080 0.7037  1 Si 2.54
Te2 0.0217 0.9920 0.7037  1 Si 2.54
Te3 0.4078 0.7500 0.1761  1 Si 2.51
Te4 0.4276 0.7500 0.5758  1 Si 2.51
Te5 0.5724 0.2500 0.4242  1 Si 2.51
Te6 0.5922 0.2500 0.8239  1 Si 2.51
Te7 0.9783 0.0080 0.2963  1 Si 2.54
Te8 0.9783 0.4920 0.2963  1 Si 2.54

Values from the calculation:
V ... 548.4 Å³ per cell
Raw total energy ... -59.06 eV for the cell shown
Theoretical density ... 5.0 Mg/m³
Symmetry ... P2_1/m (11)